18
Lattice="4.593 0.000 0.000 0.000 4.593 0.000 0.000 0.000 8.732" Properties=species:S:1:pos:R:3 comment="NpBeCoO6, relaxed, DFT PBE+U" total_energy_ev_per_cell=-137.3 spacegroup="P4_2nm (102)" pbc="T T T"
Np 0.000 0.000 0.000
Np 2.297 2.297 4.366
Be 0.000 0.000 5.721
Be 2.297 2.297 1.355
Co 0.000 0.000 2.942
Co 2.297 2.297 7.308
O 0.824 0.824 4.427
O 0.910 0.910 7.200
O 0.917 0.917 1.516
O 1.379 3.214 5.882
O 1.386 3.207 2.835
O 1.473 3.120 0.061
O 3.120 1.473 0.061
O 3.207 1.386 2.835
O 3.214 1.379 5.882
O 3.676 3.676 1.516
O 3.683 3.683 7.200
O 3.769 3.769 4.427